# 1
Entry from the Alexandria database: a relaxed structure of La2PmPu (PBE-GGA).

The calculation puts the excess energy over the best structure of this formula in the dataset at 32 meV per atom. The value obtained for the theoretical density is 8.325 g/cm3. Its total energy is -28.369 eV per cell. As for the density of states at the Fermi level: 15.57 states/eV/f.u. As for the formation enthalpy at 0 K: 0.1421 eV per atom.

The structure belongs to space group P4/mmm (No. 123); the cell edges are 5.1455, 5.1455 and 5.0235 Å and the angles 90.00°, 90.00° and 90.00°. Symmetry generates all atoms from La at (0.0000, 0.5000, 0.0000), Pm at (0.0000, 0.0000, 0.5000) and Pu at (0.5000, 0.5000, 0.5000).

---

# 2
Entry from the Alexandria database: a relaxed structure of Na3SmNp3Se8 (PBE-GGA).

The value obtained for the formation energy from raw total energies is -19.62 eV/f.u. The value obtained for the theoretical density is 6.121 g/cm3. Its total energy is -284.973 eV per cell. As for the density of states at the Fermi level: 29.72 states/eV/f.u.

The structure belongs to space group R-3m (No. 166, hexagonal axes); the cell edges are 8.3703, 8.3703 and 20.9518 Å and the angles 90.00°, 90.00° and 120.00°. Symmetry generates all atoms from Na at (0.0000, 0.5000, 0.0000), Sm at (0.0000, 0.0000, 0.5000), Np at (0.0000, 0.5000, 0.5000), Se at (0.0000, 0.0000, 0.2430) and Se at (0.0067, 0.5034, 0.7574).

---

# 3
Entry from the Alexandria database: a relaxed structure of NiS (PBE-GGA).

The value obtained for the formation energy from raw total energies is -0.54 eV/f.u. The value obtained for the theoretical density is 5.651 g/cm3. Its total energy is -20.891 eV per cell. As for the density of states at the Fermi level: 1.23 states/eV/f.u.

The structure belongs to space group P6_3/mmc (No. 194); the cell edges are 3.4462, 3.4462 and 5.1865 Å and the angles 90.00°, 90.00° and 120.00°. Symmetry generates all atoms from Ni at (0.0000, 0.0000, 0.0000) and S at (0.3333, 0.6667, 0.2500).